Al2NiOs: optimized geometry, PBE.

Lattice parameters (Å, degrees): 8.194 8.194 8.194 19.62 19.62 19.62
Fractional positions:
Al 0.246 0.246 0.246
Al 0.754 0.754 0.754
Ni 0.500 0.500 0.500
Os 0.000 0.000 0.000

Computed properties:
The calculation puts the energy relative to the elements at -0.285 eV/atom.



Ba2H2I: optimized geometry, PBE.

Lattice parameters (Å, degrees): 8.054 8.054 8.054 148.49 148.49 45.17
Fractional positions:
Ba 0.154 0.154 0.000
Ba 0.846 0.846 0.000
H 0.250 0.750 0.500
H 0.750 0.250 0.500
I 0.500 0.500 0.000

Computed properties:
The total energy is -16.3 eV per cell.



PrDyNpN3: optimized geometry, PBE.

Lattice parameters (Å, degrees): 7.282 3.636 8.679 90.00 98.94 90.00
Fractional positions:
Pr 0.169 0.250 0.139
Pr 0.831 0.750 0.861
Dy 0.369 0.750 0.852
Dy 0.631 0.250 0.148
Np 0.058 0.250 0.592
Np 0.942 0.750 0.408
N 0.104 0.250 0.847
N 0.220 0.750 0.589
N 0.401 0.750 0.122
N 0.599 0.250 0.878
N 0.780 0.250 0.411
N 0.896 0.750 0.153

Computed properties:
For the formation energy (no corrections), the calculation gives -1024 meV/atom.



NaLi3Ta: optimized geometry, PBE.

Lattice parameters (Å, degrees): 4.522 4.522 4.522 90.00 90.00 90.00
Fractional positions:
Na 0.000 0.000 0.000
Li 0.000 0.000 0.500
Li 0.000 0.500 0.000
Li 0.500 0.000 0.000
Ta 0.500 0.500 0.500

Computed properties:
The calculation puts the energy relative to the elements at 1.143 eV/atom.



Na2BeCu2: optimized geometry, PBE.

Lattice parameters (Å, degrees): 5.791 5.791 5.072 90.00 90.00 90.00
Fractional positions:
Na 0.181 0.319 0.000
Na 0.319 0.819 0.000
Na 0.681 0.181 0.000
Na 0.819 0.681 0.000
Be 0.000 0.000 0.500
Be 0.500 0.500 0.500
Cu 0.150 0.650 0.500
Cu 0.350 0.150 0.500
Cu 0.650 0.850 0.500
Cu 0.850 0.350 0.500

Computed properties:
The calculation puts the energy relative to the elements at 0.315 eV/atom.



CuTcAs2: optimized geometry, PBE.

Lattice parameters (Å, degrees): 4.332 4.332 4.986 97.80 97.80 42.18
Fractional positions:
Cu 0.000 0.000 0.000
Tc 0.500 0.500 0.500
As 0.231 0.231 0.731
As 0.769 0.769 0.269

Computed properties:
The calculation puts the energy relative to the elements at 0.123 eV/atom.



Sc5P4S: optimized geometry, PBE.

Lattice parameters (Å, degrees): 6.484 6.484 6.484 99.60 99.60 131.80
Fractional positions:
Sc 0.000 0.000 0.000
Sc 0.197 0.602 0.798
Sc 0.398 0.197 0.595
Sc 0.602 0.803 0.405
Sc 0.803 0.398 0.202
P 0.101 0.299 0.399
P 0.299 0.899 0.198
P 0.701 0.101 0.802
P 0.899 0.701 0.601
S 0.500 0.500 0.000

Computed properties:
For the formation energy (no corrections), the calculation gives -1618 meV/atom.



B2Pb2O5: optimized geometry, PBE.

Lattice parameters (Å, degrees): 7.145 7.341 7.956 76.48 76.67 73.06
Fractional positions:
B 0.000 0.000 0.000
B 0.007 0.992 0.323
B 0.520 0.471 0.641
B 0.667 0.143 0.542
B 0.679 0.176 0.850
B 0.970 0.697 0.232
Pb 0.049 0.793 0.696
Pb 0.141 0.309 0.497
Pb 0.231 0.319 0.011
Pb 0.479 0.835 0.839
Pb 0.495 0.919 0.330
Pb 0.670 0.387 0.172
O 0.085 0.049 0.135
O 0.140 0.006 0.435
O 0.149 0.983 0.838
O 0.381 0.268 0.247
O 0.413 0.660 0.611
O 0.516 0.086 0.945
O 0.525 0.024 0.572
O 0.557 0.355 0.516
O 0.587 0.392 0.800
O 0.780 0.098 0.687
O 0.803 0.120 0.369
O 0.822 0.159 0.965
O 0.949 0.808 0.067
O 0.966 0.507 0.270
O 0.996 0.786 0.360

Computed properties:
For the formation energy (no corrections), the calculation gives -1902 meV/atom.



CoMoOs: optimized geometry, PBE.

Lattice parameters (Å, degrees): 4.099 4.099 4.099 60.00 60.00 60.00
Fractional positions:
Co 0.000 0.000 0.000
Mo 0.250 0.250 0.250
Os 0.500 0.500 0.500

Computed properties:
The calculation puts the energy relative to the elements at 0.661 eV/atom.



Be4CoTe: optimized geometry, PBE.

Lattice parameters (Å, degrees): 4.538 4.538 4.538 60.00 60.00 60.00
Fractional positions:
Be 0.121 0.121 0.121
Be 0.121 0.121 0.636
Be 0.121 0.636 0.121
Be 0.636 0.121 0.121
Co 0.750 0.750 0.750
Te 0.500 0.500 0.500

Computed properties:
For the formation energy (no corrections), the calculation gives 306 meV/atom.



LiGeH2: optimized geometry, PBE.

Lattice parameters (Å, degrees): 6.021 6.021 6.021 27.53 27.53 27.53
Fractional positions:
Li 0.000 0.000 0.000
Ge 0.500 0.500 0.500
H 0.391 0.391 0.391
H 0.609 0.609 0.609

Computed properties:
The total energy is -13.0 eV per cell.



Ca2CrHg: optimized geometry, PBE.

Lattice parameters (Å, degrees): 3.731 3.731 8.160 90.00 90.00 90.00
Fractional positions:
Ca 0.000 0.000 0.000
Ca 0.500 0.500 0.363
Cr 0.000 0.000 0.606
Hg 0.500 0.500 0.763

Computed properties:
The calculation puts the energy relative to the elements at 0.132 eV/atom.